An optimized crystal structure of CsLi2MoO4, computed with GGA+U.

abc: 5.6738 5.6738 7.9712
angles: 90.00 90.00 90.00
With the nearest neighbours (Å) after each atom.
Space group I-42m (No. 121)
Unique sites:
Cs (0.0000, 0.0000, 0.0000)  8 O 2.83-3.14
Li (0.0000, 0.5000, 0.2500)  4 O 2.23
Mo (0.0000, 0.0000, 0.5000)  4 O 1.88
O (0.1802, 0.1802, 0.6506)  1 Mo 1.88

## Properties
Size of the total moment in μB/f.u.: 1.00
Volume in Å³/atom: 16.04
Raw total energy in eV per atom: -5.669